(1)
# PmPr2Nd3Dy6, relaxed, DFT PBE-GGA
data_PmPr2Nd3Dy6
_chemical_formula_sum 'Pm2 Pr4 Nd6 Dy12'
_space_group_name_H-M_alt 'C 1 2/m 1'
_space_group_IT_number 12
_space_group_name_Hall '-C 2y'
_cell_length_a 6.2792
_cell_length_b 10.8748
_cell_length_c 11.8722
_cell_angle_alpha 90.00
_cell_angle_beta 100.12
_cell_angle_gamma 90.00
loop_
_atom_site_label
_atom_site_type_symbol
_atom_site_fract_x
_atom_site_fract_y
_atom_site_fract_z
_atom_site_occupancy
Pm1 Pm 0.0000 0.0000 0.0000 1
Pr1 Pr 0.0000 0.3335 0.0000 1
Nd1 Nd 0.0000 0.1668 0.5000 1
Nd2 Nd 0.0000 0.5000 0.5000 1
Dy1 Dy 0.2495 0.0000 0.7495 1
Dy2 Dy 0.2500 0.1665 0.2503 1
# Uncorrected energy   -112.179 eV/cell
# Crystal system   monoclinic

(2)
# Pm2Pr4NdDy, relaxed, DFT PBE-GGA
data_Pm2Pr4NdDy
_chemical_formula_sum 'Pm2 Pr4 Nd1 Dy1'
_space_group_name_H-M_alt 'P 1 2/m 1'
_space_group_IT_number 10
_space_group_name_Hall '-P 2y'
_cell_length_a 5.1933
_cell_length_b 5.2118
_cell_length_c 10.3536
_cell_angle_alpha 90.00
_cell_angle_beta 90.11
_cell_angle_gamma 90.00
loop_
_atom_site_label
_atom_site_type_symbol
_atom_site_fract_x
_atom_site_fract_y
_atom_site_fract_z
_atom_site_occupancy
Pm1 Pm 0.0000 0.0000 0.0000 1
Pm2 Pm 0.5000 0.5000 0.5000 1
Pr1 Pr 0.9997 0.5000 0.2475 1
Pr2 Pr 0.4998 0.0000 0.2479 1
Nd1 Nd 0.0000 0.0000 0.5000 1
Dy1 Dy 0.5000 0.5000 0.0000 1
# Uncorrected energy   -37.892 eV/cell
# Crystal system   monoclinic

(3)
# Pm5PrNd2Dy, relaxed, DFT PBE-GGA
data_Pm5PrNd2Dy
_chemical_formula_sum 'Pm20 Pr4 Nd8 Dy4'
_space_group_name_H-M_alt 'I 4/m c m'
_space_group_IT_number 140
_space_group_name_Hall '-I 4 2c'
_cell_length_a 8.8895
_cell_length_b 8.8895
_cell_length_c 15.8624
_cell_angle_alpha 90.00
_cell_angle_beta 90.00
_cell_angle_gamma 90.00
loop_
_atom_site_label
_atom_site_type_symbol
_atom_site_fract_x
_atom_site_fract_y
_atom_site_fract_z
_atom_site_occupancy
Pm1 Pm 0.0000 0.0000 0.0000 1
Pm2 Pm 0.2092 0.2908 0.1382 1
Pr1 Pr 0.0000 0.0000 0.2500 1
Nd1 Nd 0.1174 0.3826 0.5000 1
Dy1 Dy 0.0000 0.5000 0.2500 1
# Uncorrected energy   -161.135 eV/cell
# Crystal system   tetragonal

(4)
# Pm4PrNd2Dy, relaxed, DFT PBE-GGA
data_Pm4PrNd2Dy
_chemical_formula_sum 'Pm16 Pr4 Nd8 Dy4'
_space_group_name_H-M_alt 'C 1 2/c 1'
_space_group_IT_number 15
_space_group_name_Hall '-C 2yc'
_cell_length_a 13.8342
_cell_length_b 13.4489
_cell_length_c 6.9494
_cell_angle_alpha 90.00
_cell_angle_beta 119.87
_cell_angle_gamma 90.00
loop_
_atom_site_label
_atom_site_type_symbol
_atom_site_fract_x
_atom_site_fract_y
_atom_site_fract_z
_atom_site_occupancy
Pm1 Pm 0.0005 0.2453 0.0011 1
Pm2 Pm 0.2469 0.0004 0.4609 1
Pr1 Pr 0.2500 0.2500 0.0000 1
Nd1 Nd 0.0000 0.5000 0.0000 1
Nd2 Nd 0.2500 0.2500 0.5000 1
Dy1 Dy 0.0000 0.0000 0.0000 1
# Uncorrected energy   -139.645 eV/cell
# Crystal system   monoclinic

(5)
# PmPr6Nd2Dy, relaxed, DFT PBE-GGA
data_PmPr6Nd2Dy
_chemical_formula_sum 'Pm4 Pr24 Nd8 Dy4'
_space_group_name_H-M_alt 'C 1 2/c 1'
_space_group_IT_number 15
_space_group_name_Hall '-C 2yc'
_cell_length_a 9.3302
_cell_length_b 15.4961
_cell_length_c 9.9714
_cell_angle_alpha 90.00
_cell_angle_beta 98.68
_cell_angle_gamma 90.00
loop_
_atom_site_label
_atom_site_type_symbol
_atom_site_fract_x
_atom_site_fract_y
_atom_site_fract_z
_atom_site_occupancy
Pm1 Pm 0.0000 0.0198 0.2500 1
Pr1 Pr 0.0660 0.1838 0.9458 1
Pr2 Pr 0.0999 0.3956 0.1191 1
Pr3 Pr 0.2083 0.2211 0.3111 1
Nd1 Nd 0.2447 0.0490 0.5433 1
Dy1 Dy 0.0000 0.4084 0.7500 1
# Uncorrected energy   -185.854 eV/cell
# Crystal system   monoclinic

(6)
# Pm4Pr2NdDy, relaxed, DFT PBE-GGA
data_Pm4Pr2NdDy
_chemical_formula_sum 'Pm16 Pr8 Nd4 Dy4'
_space_group_name_H-M_alt 'C 1 2/c 1'
_space_group_IT_number 15
_space_group_name_Hall '-C 2yc'
_cell_length_a 13.8542
_cell_length_b 13.4483
_cell_length_c 6.9605
_cell_angle_alpha 90.00
_cell_angle_beta 119.85
_cell_angle_gamma 90.00
loop_
_atom_site_label
_atom_site_type_symbol
_atom_site_fract_x
_atom_site_fract_y
_atom_site_fract_z
_atom_site_occupancy
Pm1 Pm 0.0007 0.2445 0.0014 1
Pm2 Pm 0.2460 0.0005 0.4583 1
Pr1 Pr 0.0000 0.5000 0.0000 1
Pr2 Pr 0.2500 0.2500 0.0000 1
Nd1 Nd 0.2500 0.2500 0.5000 1
Dy1 Dy 0.0000 0.0000 0.0000 1
# Uncorrected energy   -139.763 eV/cell
# Crystal system   monoclinic

(7)
# PmNd2DyPt2, relaxed, DFT PBE-GGA
data_PmNd2DyPt2
_chemical_formula_sum 'Pm4 Nd8 Dy4 Pt8'
_space_group_name_H-M_alt 'I b a m'
_space_group_IT_number 72
_space_group_name_Hall '-I 2 2c'
_cell_length_a 6.8921
_cell_length_b 14.3007
_cell_length_c 6.8834
_cell_angle_alpha 90.00
_cell_angle_beta 90.00
_cell_angle_gamma 90.00
loop_
_atom_site_label
_atom_site_type_symbol
_atom_site_fract_x
_atom_site_fract_y
_atom_site_fract_z
_atom_site_occupancy
Pm1 Pm 0.0000 0.0000 0.2500 1
Nd1 Nd 0.2052 0.3079 0.0000 1
Dy1 Dy 0.0000 0.5000 0.2500 1
Pt1 Pt 0.2317 0.3885 0.5000 1
# Uncorrected energy   -142.829 eV/cell
# Crystal system   orthorhombic

(8)
# PmNdDyPu, relaxed, DFT PBE-GGA
data_PmNdDyPu
_chemical_formula_sum 'Pm4 Nd4 Dy4 Pu4'
_space_group_name_H-M_alt 'F -4 3 m'
_space_group_IT_number 216
_space_group_name_Hall 'F -4 2 3'
_cell_length_a 8.0343
_cell_length_b 8.0343
_cell_length_c 8.0343
_cell_angle_alpha 90.00
_cell_angle_beta 90.00
_cell_angle_gamma 90.00
loop_
_atom_site_label
_atom_site_type_symbol
_atom_site_fract_x
_atom_site_fract_y
_atom_site_fract_z
_atom_site_occupancy
Pm1 Pm 0.0000 0.0000 0.0000 1
Nd1 Nd 0.0000 0.0000 0.5000 1
Dy1 Dy 0.2500 0.2500 0.2500 1
Pu1 Pu 0.2500 0.2500 0.7500 1
# Uncorrected energy   -110.345 eV/cell
# Crystal system   cubic

(9)
# Pm2NdDyS4, relaxed, DFT PBE-GGA
data_Pm2NdDyS4
_chemical_formula_sum 'Pm2 Nd1 Dy1 S4'
_space_group_name_H-M_alt 'P 1 2/m 1'
_space_group_IT_number 10
_space_group_name_Hall '-P 2y'
_cell_length_a 6.9577
_cell_length_b 3.9723
_cell_length_c 6.9887
_cell_angle_alpha 90.00
_cell_angle_beta 109.00
_cell_angle_gamma 90.00
loop_
_atom_site_label
_atom_site_type_symbol
_atom_site_fract_x
_atom_site_fract_y
_atom_site_fract_z
_atom_site_occupancy
Pm1 Pm 0.0000 0.0000 0.0000 1
Pm2 Pm 0.0000 0.5000 0.5000 1
Nd1 Nd 0.5000 0.0000 0.5000 1
Dy1 Dy 0.5000 0.5000 0.0000 1
S1 S 0.2522 0.5000 0.2434 1
S2 S 0.2577 0.0000 0.7597 1
# Formation energy (no corrections)   -2016 meV per atom
# Crystal system   monoclinic

(10)
# PmNd4Dy3S8, relaxed, DFT PBE-GGA
data_PmNd4Dy3S8
_chemical_formula_sum 'Pm3 Nd12 Dy9 S24'
_space_group_name_H-M_alt 'R -3 m'
_space_group_IT_number 166
_space_group_name_Hall '-R 3 2"'
_cell_length_a 7.9753
_cell_length_b 7.9753
_cell_length_c 19.7988
_cell_angle_alpha 90.00
_cell_angle_beta 90.00
_cell_angle_gamma 120.00
loop_
_atom_site_label
_atom_site_type_symbol
_atom_site_fract_x
_atom_site_fract_y
_atom_site_fract_z
_atom_site_occupancy
Pm1 Pm 0.0000 0.0000 0.0000 1
Nd1 Nd 0.0000 0.0000 0.5000 1
Nd2 Nd 0.0000 0.5000 0.5000 1
Dy1 Dy 0.0000 0.5000 0.0000 1
S1 S 0.0000 0.0000 0.2555 1
S2 S 0.0059 0.5029 0.2542 1
# Formation energy (no corrections)   -2012 meV per atom
# Crystal system   trigonal

(11)
# Pm2Nd3DyS6, relaxed, DFT PBE-GGA
data_Pm2Nd3DyS6
_chemical_formula_sum 'Pm4 Nd6 Dy2 S12'
_space_group_name_H-M_alt 'C 1 2/m 1'
_space_group_IT_number 12
_space_group_name_Hall '-C 2y'
_cell_length_a 6.9650
_cell_length_b 12.1016
_cell_length_c 6.9872
_cell_angle_alpha 90.00
_cell_angle_beta 109.45
_cell_angle_gamma 90.00
loop_
_atom_site_label
_atom_site_type_symbol
_atom_site_fract_x
_atom_site_fract_y
_atom_site_fract_z
_atom_site_occupancy
Pm1 Pm 0.0000 0.1669 0.0000 1
Nd1 Nd 0.0000 0.0000 0.5000 1
Nd2 Nd 0.0000 0.3300 0.5000 1
Dy1 Dy 0.0000 0.5000 0.0000 1
S1 S 0.2434 0.3370 0.2416 1
S2 S 0.2445 0.5000 0.7555 1
# Formation energy (no corrections)   -2027 meV per atom
# Crystal system   monoclinic

(12)
# Pm3Nd3DyS8, relaxed, DFT PBE-GGA
data_Pm3Nd3DyS8
_chemical_formula_sum 'Pm9 Nd9 Dy3 S24'
_space_group_name_H-M_alt 'R -3 m'
_space_group_IT_number 166
_space_group_name_Hall '-R 3 2"'
_cell_length_a 8.0654
_cell_length_b 8.0654
_cell_length_c 19.8120
_cell_angle_alpha 90.00
_cell_angle_beta 90.00
_cell_angle_gamma 120.00
loop_
_atom_site_label
_atom_site_type_symbol
_atom_site_fract_x
_atom_site_fract_y
_atom_site_fract_z
_atom_site_occupancy
Pm1 Pm 0.0000 0.5000 0.0000 1
Nd1 Nd 0.0000 0.5000 0.5000 1
Dy1 Dy 0.0000 0.0000 0.0000 1
S1 S 0.0000 0.0000 0.2510 1
S2 S 0.0074 0.5037 0.7472 1
# Formation energy (no corrections)   -2057 meV per atom
# Crystal system   trigonal

(13)
# Pm3NdDy2S6, relaxed, DFT PBE-GGA
data_Pm3NdDy2S6
_chemical_formula_sum 'Pm6 Nd2 Dy4 S12'
_space_group_name_H-M_alt 'C 1 2/m 1'
_space_group_IT_number 12
_space_group_name_Hall '-C 2y'
_cell_length_a 6.9075
_cell_length_b 12.0028
_cell_length_c 6.9304
_cell_angle_alpha 90.00
_cell_angle_beta 109.46
_cell_angle_gamma 90.00
loop_
_atom_site_label
_atom_site_type_symbol
_atom_site_fract_x
_atom_site_fract_y
_atom_site_fract_z
_atom_site_occupancy
Pm1 Pm 0.0000 0.0000 0.0000 1
Pm2 Pm 0.0000 0.3376 0.0000 1
Nd1 Nd 0.0000 0.5000 0.5000 1
Dy1 Dy 0.0000 0.1662 0.5000 1
S1 S 0.2377 0.0000 0.7404 1
S2 S 0.2475 0.1713 0.2560 1
# Formation energy (no corrections)   -2022 meV per atom
# Crystal system   monoclinic

(14)
# PmNdDy4S8, relaxed, DFT PBE-GGA
data_PmNdDy4S8
_chemical_formula_sum 'Pm3 Nd3 Dy12 S24'
_space_group_name_H-M_alt 'R 3 m'
_space_group_IT_number 160
_space_group_name_Hall 'R 3 -2"'
_cell_length_a 8.1095
_cell_length_b 8.1095
_cell_length_c 20.0492
_cell_angle_alpha 90.00
_cell_angle_beta 90.00
_cell_angle_gamma 120.00
loop_
_atom_site_label
_atom_site_type_symbol
_atom_site_fract_x
_atom_site_fract_y
_atom_site_fract_z
_atom_site_occupancy
Pm1 Pm 0.0000 0.0000 0.0000 1
Nd1 Nd 0.0000 0.0000 0.3745 1
Dy1 Dy 0.0000 0.0000 0.6264 1
Dy2 Dy 0.0018 0.5009 0.5010 1
S1 S 0.0000 0.0000 0.2387 1
S2 S 0.0000 0.0000 0.7584 1
S3 S 0.0237 0.5119 0.7568 1
S4 S 0.1733 0.3466 0.5791 1
# Formation energy (no corrections)   -1926 meV per atom
# Crystal system   trigonal

(15)
# Pm4NdDyS8, relaxed, DFT PBE-GGA
data_Pm4NdDyS8
_chemical_formula_sum 'Pm12 Nd3 Dy3 S24'
_space_group_name_H-M_alt 'R 3 m'
_space_group_IT_number 160
_space_group_name_Hall 'R 3 -2"'
_cell_length_a 8.2721
_cell_length_b 8.2721
_cell_length_c 20.1288
_cell_angle_alpha 90.00
_cell_angle_beta 90.00
_cell_angle_gamma 120.00
loop_
_atom_site_label
_atom_site_type_symbol
_atom_site_fract_x
_atom_site_fract_y
_atom_site_fract_z
_atom_site_occupancy
Pm1 Pm 0.0000 0.0000 0.0000 1
Pm2 Pm 0.1670 0.3339 0.4571 1
Nd1 Nd 0.0000 0.0000 0.2478 1
Dy1 Dy 0.0000 0.0000 0.6240 1
S1 S 0.0000 0.0000 0.3814 1
S2 S 0.0000 0.0000 0.8673 1
S3 S 0.0258 0.5129 0.3738 1
S4 S 0.1806 0.3613 0.2068 1
# Formation energy (no corrections)   -1920 meV per atom
# Crystal system   trigonal

(16)
# PmNdDy2S4, relaxed, DFT PBE-GGA
data_PmNdDy2S4
_chemical_formula_sum 'Pm1 Nd1 Dy2 S4'
_space_group_name_H-M_alt 'P 1 2/m 1'
_space_group_IT_number 10
_space_group_name_Hall '-P 2y'
_cell_length_a 6.8538
_cell_length_b 3.9277
_cell_length_c 6.9938
_cell_angle_alpha 90.00
_cell_angle_beta 108.83
_cell_angle_gamma 90.00
loop_
_atom_site_label
_atom_site_type_symbol
_atom_site_fract_x
_atom_site_fract_y
_atom_site_fract_z
_atom_site_occupancy
Pm1 Pm 0.0000 0.0000 0.0000 1
Nd1 Nd 0.5000 0.5000 0.0000 1
Dy1 Dy 0.0000 0.5000 0.5000 1
Dy2 Dy 0.5000 0.0000 0.5000 1
S1 S 0.2435 0.0000 0.7351 1
S2 S 0.2535 0.5000 0.2639 1
# Formation energy (no corrections)   -2014 meV per atom
# Crystal system   monoclinic

(17)
# Pm4Nd3DyS8, relaxed, DFT PBE-GGA
data_Pm4Nd3DyS8
_chemical_formula_sum 'Pm12 Nd9 Dy3 S24'
_space_group_name_H-M_alt 'R -3 m'
_space_group_IT_number 166
_space_group_name_Hall '-R 3 2"'
_cell_length_a 8.0705
_cell_length_b 8.0705
_cell_length_c 19.7406
_cell_angle_alpha 90.00
_cell_angle_beta 90.00
_cell_angle_gamma 120.00
loop_
_atom_site_label
_atom_site_type_symbol
_atom_site_fract_x
_atom_site_fract_y
_atom_site_fract_z
_atom_site_occupancy
Pm1 Pm 0.0000 0.0000 0.0000 1
Pm2 Pm 0.0000 0.5000 0.0000 1
Nd1 Nd 0.0000 0.5000 0.5000 1
Dy1 Dy 0.0000 0.0000 0.5000 1
S1 S 0.0000 0.0000 0.2511 1
S2 S 0.0079 0.5039 0.2491 1
# Formation energy (no corrections)   -2019 meV per atom
# Crystal system   trigonal

(18)
# PmNd2Dy3S6, relaxed, DFT PBE-GGA
data_PmNd2Dy3S6
_chemical_formula_sum 'Pm2 Nd4 Dy6 S12'
_space_group_name_H-M_alt 'C 1 2/m 1'
_space_group_IT_number 12
_space_group_name_Hall '-C 2y'
_cell_length_a 17.4052
_cell_length_b 3.9507
_cell_length_c 8.0376
_cell_angle_alpha 90.00
_cell_angle_beta 104.29
_cell_angle_gamma 90.00
loop_
_atom_site_label
_atom_site_type_symbol
_atom_site_fract_x
_atom_site_fract_y
_atom_site_fract_z
_atom_site_occupancy
Pm1 Pm 0.0000 0.0000 0.0000 1
Nd1 Nd 0.1667 0.5000 0.3334 1
Dy1 Dy 0.0000 0.0000 0.5000 1
Dy2 Dy 0.1670 0.5000 0.8333 1
S1 S 0.0035 0.5000 0.7432 1
S2 S 0.1632 0.0000 0.5921 1
S3 S 0.1692 0.0000 0.0739 1
# Formation energy (no corrections)   -2015 meV per atom
# Crystal system   monoclinic

(19)
# Pm4NdDy3S8, relaxed, DFT PBE-GGA
data_Pm4NdDy3S8
_chemical_formula_sum 'Pm12 Nd3 Dy9 S24'
_space_group_name_H-M_alt 'R -3 m'
_space_group_IT_number 166
_space_group_name_Hall '-R 3 2"'
_cell_length_a 7.9696
_cell_length_b 7.9696
_cell_length_c 19.6284
_cell_angle_alpha 90.00
_cell_angle_beta 90.00
_cell_angle_gamma 120.00
loop_
_atom_site_label
_atom_site_type_symbol
_atom_site_fract_x
_atom_site_fract_y
_atom_site_fract_z
_atom_site_occupancy
Pm1 Pm 0.0000 0.0000 0.0000 1
Pm2 Pm 0.0000 0.5000 0.0000 1
Nd1 Nd 0.0000 0.0000 0.5000 1
Dy1 Dy 0.0000 0.5000 0.5000 1
S1 S 0.0000 0.0000 0.2456 1
S2 S 0.0074 0.5037 0.7526 1
# Formation energy (no corrections)   -2012 meV per atom
# Crystal system   trigonal

(20)
# PmNdDy2S6, relaxed, DFT PBE-GGA
data_PmNdDy2S6
_chemical_formula_sum 'Pm3 Nd3 Dy6 S18'
_space_group_name_H-M_alt 'R 3'
_space_group_IT_number 146
_space_group_name_Hall 'R 3'
_cell_length_a 7.0445
_cell_length_b 7.0445
_cell_length_c 18.6216
_cell_angle_alpha 90.00
_cell_angle_beta 90.00
_cell_angle_gamma 120.00
loop_
_atom_site_label
_atom_site_type_symbol
_atom_site_fract_x
_atom_site_fract_y
_atom_site_fract_z
_atom_site_occupancy
Pm1 Pm 0.0000 0.0000 0.0000 1
Nd1 Nd 0.0000 0.0000 0.5012 1
Dy1 Dy 0.0000 0.0000 0.2958 1
Dy2 Dy 0.0000 0.0000 0.7952 1
S1 S 0.0161 0.7098 0.3935 1
S2 S 0.0194 0.3060 0.8937 1
# Formation energy (no corrections)   -2041 meV per atom
# Crystal system   trigonal

Number 1: ρ 7.634 Mg/m³. Number 2: ρ 6.876 Mg/m³. Number 3: ρ 6.978 Mg/m³. Number 4: ρ 6.942 Mg/m³. Number 5: ρ 6.718 Mg/m³. Number 6: ρ 6.901 Mg/m³. Number 7: ρ 9.655 Mg/m³. Number 8: ρ 8.911 Mg/m³. Number 9: ρ 6.592 Mg/m³. Number 10: ρ 6.696 Mg/m³. Number 11: ρ 6.445 Mg/m³. Number 12: ρ 5.743 Mg/m³. Number 13: ρ 6.722 Mg/m³. Number 14: ρ 5.217 Mg/m³. Number 15: ρ 4.775 Mg/m³. Number 16: ρ 6.919 Mg/m³. Number 17: ρ 6.405 Mg/m³. Number 18: ρ 6.904 Mg/m³. Number 19: ρ 6.775 Mg/m³. Number 20: ρ 5.021 Mg/m³.